8
Lattice="5.221 0.000 0.000 2.611 4.522 0.000 2.611 1.507 8.755" Properties=species:S:1:pos:R:3 comment="LiPmHo2In4 (PBE-GGA, optimized geometry)" dft_energy_ev_per_atom=-3.76 e_form_ev_per_atom=-0.41 pbc="T T T"
Li 5.221 3.015 4.377
In 5.221 3.015 7.565
Ho 7.832 4.522 6.467
In 5.221 3.015 1.190
In 2.611 1.507 5.407
Ho 2.611 1.507 2.288
In 7.832 4.522 3.348
Pm 0.000 0.000 0.000



4
Lattice="-3.826 -0.435 0.589 -1.569 -3.565 0.055 -0.310 -1.846 9.511" Properties=species:S:1:pos:R:3 comment="Tb2GdAs (PBE-GGA, optimized geometry)" dft_energy_ev_per_atom=-7.60 e_form_ev_per_atom=-0.61 pbc="T T T"
Gd -2.852 -2.923 5.077
As 0.000 0.000 0.000
Tb -1.524 -1.428 1.926
Tb -4.180 -4.418 8.229



4
Lattice="3.635 0.000 0.000 1.817 3.148 0.000 1.817 1.049 11.738" Properties=species:S:1:pos:R:3 comment="Pr2GdTm (PBE-GGA, optimized geometry)" dft_energy_ev_per_atom=-7.01 e_form_ev_per_atom=0.01 pbc="T T T"
Pr 5.452 3.148 8.841
Tm 0.000 0.000 0.000
Pr 1.817 1.049 2.898
Gd 3.635 2.098 5.869



11
Lattice="-6.530 -1.492 2.946 1.060 -4.557 2.469 -0.153 3.573 3.898" Properties=species:S:1:pos:R:3 comment="In2B2F7 (PBE-GGA, optimized geometry)" dft_energy_ev_per_atom=-5.21 raw_formation_energy_ev_per_atom=-2.309 pbc="T T T"
F -0.225 -0.801 4.366
B -5.466 -2.185 7.788
B -0.158 -0.292 1.525
F -4.595 -3.157 7.333
F 0.000 0.000 0.000
F -5.398 -1.675 4.947
F -0.693 -1.565 1.586
In -2.571 -2.848 4.374
F -4.930 -0.911 7.728
In -3.052 0.372 4.940
F -1.028 0.681 1.980



20
Lattice="7.130 0.000 0.000 3.565 6.175 0.000 3.565 2.058 11.848" Properties=species:S:1:pos:R:3 comment="Rb2LiOsCl6 (PBE-GGA, optimized geometry)" dft_energy_ev_per_atom=-3.88 raw_formation_energy_ev_per_atom=-1.268 pbc="T T T"
Li 7.130 4.116 2.966
Cl 7.130 2.179 7.324
Cl 7.130 6.054 4.524
Os 0.000 0.000 0.000
Rb 10.695 6.175 10.460
Rb 3.565 2.058 1.387
Rb 3.565 2.058 7.398
Cl 5.251 3.032 10.465
Cl 7.130 1.947 1.383
Os 7.130 4.116 5.924
Cl 5.452 3.147 4.524
Rb 10.695 6.175 4.450
Li 7.130 4.116 8.882
Cl 7.130 6.286 10.465
Cl 9.008 5.201 1.383
Cl 8.808 5.085 7.324
Cl 5.251 5.201 1.383
Cl 8.808 3.147 4.524
Cl 9.008 3.032 10.465
Cl 5.452 5.085 7.324



4
Lattice="4.557 0.000 0.000 0.000 4.557 0.000 0.000 0.000 3.222" Properties=species:S:1:pos:R:3 comment="ZrReAs2 (PBE-GGA, optimized geometry)" dft_energy_ev_per_atom=-7.80 e_form_ev_per_atom=-0.22 pbc="T T T"
As 2.278 2.278 0.000
As 0.000 0.000 0.000
Zr 0.000 2.278 1.611
Re 2.278 0.000 1.611